A geometry-optimized LiPaCo2 structure, computed with PBE.

a b c (Å): 4.0241 4.0241 3.5329
angles (deg): 90.00 90.00 90.00
Last column: nearest neighbours and their distance in Å.
Atoms (fractional coordinates):
Li 0.0000 0.0000 0.0000  8 Co 2.68, 4 Pa 2.85
Pa 0.5000 0.5000 0.0000  8 Co 2.68, 4 Li 2.85
Co 0.0000 0.5000 0.5000  4 Li 2.68, 4 Pa 2.68, 4 Co 2.85
Co 0.5000 0.0000 0.5000  4 Li 2.68, 4 Pa 2.68, 4 Co 2.85

Calculated volume in Å³/f.u.: 57
ΔE_f in meV per atom: -166.7
Size of the total moment in μB/cell: 0.000
N(E_F) in states/eV/f.u.: 1.09
Calculated total energy in Ha/atom: -0.2415

=====

A geometry-optimized Pr2NdDy7 structure, computed with PBE.

a b c (Å): 6.2060 7.1835 8.0201
angles (deg): 77.30 75.06 73.45
Last column: nearest neighbours and their distance in Å.
Atoms (fractional coordinates):
Pr 0.2011 0.2992 0.1006  10 Dy 3.58-3.60, 1 Nd 3.59, 1 Pr 3.62
Pr 0.7989 0.7008 0.8994  10 Dy 3.58-3.60, 1 Nd 3.59, 1 Pr 3.62
Nd 0.0000 0.0000 0.5000  10 Dy 3.57-3.60, 2 Pr 3.59
Dy 0.0000 0.5000 0.5000  8 Dy 3.58-3.59, 2 Pr 3.58, 2 Nd 3.59
Dy 0.2001 0.7997 0.1010  1 Nd 3.58, 4 Pr 3.58-3.59, 7 Dy 3.58-3.61
Dy 0.3992 0.1010 0.6984  8 Dy 3.57-3.61, 2 Nd 3.57-3.59, 2 Pr 3.59-3.60
Dy 0.4006 0.5999 0.6987  8 Dy 3.57-3.60, 3 Pr 3.58-3.60, 1 Nd 3.60
Dy 0.5994 0.4001 0.3013  8 Dy 3.57-3.60, 3 Pr 3.58-3.60, 1 Nd 3.60
Dy 0.6008 0.8990 0.3016  8 Dy 3.57-3.61, 2 Nd 3.57-3.59, 2 Pr 3.59-3.60
Dy 0.7999 0.2003 0.8990  1 Nd 3.58, 4 Pr 3.58-3.59, 7 Dy 3.58-3.61

Calculated volume in Å³/f.u.: 327
ΔE_f in meV per atom: 17.6
Size of the total moment in μB/cell: 0.000
N(E_F) in states/eV/f.u.: 13.43
Calculated total energy in Ha/atom: -0.1704

=====

A geometry-optimized AcTb2Cd3 structure, computed with PBE.

a b c (Å): 3.8450 3.8450 11.6996
angles (deg): 90.00 90.00 90.00
Last column: nearest neighbours and their distance in Å.
Atoms (fractional coordinates):
Ac 0.0000 0.0000 0.0000  8 Cd 3.55, 4 Ac 3.85
Tb 0.0000 0.0000 0.3438  8 Cd 3.23-3.28
Tb 0.0000 0.0000 0.6562  8 Cd 3.23-3.28
Cd 0.5000 0.5000 0.1947  4 Tb 3.23, 4 Ac 3.55, 1 Cd 3.57
Cd 0.5000 0.5000 0.5000  8 Tb 3.28, 2 Cd 3.57
Cd 0.5000 0.5000 0.8053  4 Tb 3.23, 4 Ac 3.55, 1 Cd 3.57

Calculated volume in Å³/f.u.: 173
ΔE_f in meV per atom: -296.2
Size of the total moment in μB/cell: 0.619
N(E_F) in states/eV/f.u.: 7.24
Calculated total energy in Ha/atom: -0.1096

=====

A geometry-optimized Li3BeAg3F8 structure, computed with PBE.

a b c (Å): 5.9124 5.9124 6.6397
angles (deg): 114.68 114.68 60.01
Last column: nearest neighbours and their distance in Å.
Atoms (fractional coordinates):
Li 0.0000 0.0000 0.0000  6 F 1.99-2.09
Li 0.0000 0.5000 0.0000  6 F 2.00-2.09
Li 0.5000 0.0000 0.0000  6 F 2.00-2.09
Be 0.5000 0.5000 0.0000  6 F 1.79-1.83
Ag 0.0000 0.5000 0.5000  6 F 2.46-2.56
Ag 0.5000 0.0000 0.5000  6 F 2.46-2.56
Ag 0.5000 0.5000 0.5000  6 F 2.45-2.61
F 0.2215 0.2215 0.1770  3 Li 1.99-2.00
F 0.2660 0.6981 0.1733  1 Be 1.79
F 0.2974 0.2974 0.8247  1 Be 1.83
F 0.3019 0.7340 0.8267  1 Be 1.79
F 0.6981 0.2660 0.1733  1 Be 1.79
F 0.7026 0.7026 0.1753  1 Be 1.83
F 0.7340 0.3019 0.8267  1 Be 1.79
F 0.7785 0.7785 0.8230  3 Li 1.99-2.00

Calculated volume in Å³/f.u.: 176
Energy relative to the elements, uncorrected in eV per atom: -2.1485
Size of the total moment in μB/cell: 0.000
N(E_F) in states/eV/f.u.: 0.00
Calculated total energy in Ha/atom: -0.1598

=====

A geometry-optimized Nd3UTl4Te8 structure, computed with PBE.

a b c (Å): 9.7416 9.7416 9.7416
angles (deg): 55.58 55.58 55.58
Last column: nearest neighbours and their distance in Å.
Atoms (fractional coordinates):
Nd 0.0000 0.5000 0.5000  6 Te 3.19
Nd 0.5000 0.0000 0.5000  6 Te 3.19
Nd 0.5000 0.5000 0.0000  6 Te 3.19
U 0.0000 0.0000 0.0000  6 Te 3.15
Tl 0.0000 0.0000 0.5000  6 Te 3.48
Tl 0.0000 0.5000 0.0000  6 Te 3.48
Tl 0.5000 0.0000 0.0000  6 Te 3.48
Tl 0.5000 0.5000 0.5000  6 Te 3.51
Te 0.2377 0.2377 0.7440  1 U 3.15, 2 Nd 3.19, 3 Tl 3.48-3.51
Te 0.2377 0.7440 0.2377  1 U 3.15, 2 Nd 3.19, 3 Tl 3.48-3.51
Te 0.2560 0.7623 0.7623  1 U 3.15, 2 Nd 3.19, 3 Tl 3.48-3.51
Te 0.2595 0.2595 0.2595  3 Nd 3.19, 3 Tl 3.48
Te 0.7405 0.7405 0.7405  3 Nd 3.19, 3 Tl 3.48
Te 0.7440 0.2377 0.2377  1 U 3.15, 2 Nd 3.19, 3 Tl 3.48-3.51
Te 0.7623 0.2560 0.7623  1 U 3.15, 2 Nd 3.19, 3 Tl 3.48-3.51
Te 0.7623 0.7623 0.2560  1 U 3.15, 2 Nd 3.19, 3 Tl 3.48-3.51

Calculated volume in Å³/f.u.: 587
Energy relative to the elements, uncorrected in eV per atom: -0.9305
Size of the total moment in μB/cell: 3.031
N(E_F) in states/eV/f.u.: 4.58
Calculated total energy in Ha/atom: -0.1724

=====

A geometry-optimized Ho3TlTe structure, computed with PBE.

a b c (Å): 9.0154 6.3442 10.3972
angles (deg): 90.00 104.30 90.00
Last column: nearest neighbours and their distance in Å.
Atoms (fractional coordinates):
Ho 0.0323 0.0767 0.2922  3 Te 3.06-3.25, 3 Ho 3.30-3.38, 1 Tl 3.40
Ho 0.0323 0.4233 0.7922  3 Te 3.06-3.25, 3 Ho 3.30-3.38, 1 Tl 3.40
Ho 0.1783 0.6549 0.5344  2 Tl 3.06-3.15, 3 Te 3.09-3.40, 1 Ho 3.38
Ho 0.1783 0.8451 0.0344  2 Tl 3.06-3.15, 3 Te 3.09-3.40, 1 Ho 3.38
Ho 0.4101 0.2161 0.8721  2 Te 3.16-3.41, 4 Tl 3.21-3.33
Ho 0.4101 0.2839 0.3721  2 Te 3.16-3.41, 4 Tl 3.21-3.33
Ho 0.5899 0.7161 0.6279  2 Te 3.16-3.41, 4 Tl 3.21-3.33
Ho 0.5899 0.7839 0.1279  2 Te 3.16-3.41, 4 Tl 3.21-3.33
Ho 0.8217 0.1549 0.9656  2 Tl 3.06-3.15, 3 Te 3.09-3.40, 1 Ho 3.38
Ho 0.8217 0.3451 0.4656  2 Tl 3.06-3.15, 3 Te 3.09-3.40, 1 Ho 3.38
Ho 0.9677 0.5767 0.2078  3 Te 3.06-3.25, 3 Ho 3.30-3.38, 1 Tl 3.40
Ho 0.9677 0.9233 0.7078  3 Te 3.06-3.25, 3 Ho 3.30-3.38, 1 Tl 3.40
Tl 0.3578 0.7143 0.8328  7 Ho 3.06-3.40
Tl 0.3578 0.7857 0.3328  7 Ho 3.06-3.40
Tl 0.6422 0.2143 0.6672  7 Ho 3.06-3.40
Tl 0.6422 0.2857 0.1672  7 Ho 3.06-3.40
Te 0.1878 0.1754 0.5855  8 Ho 3.06-3.41
Te 0.1878 0.3246 0.0855  8 Ho 3.06-3.41
Te 0.8122 0.6754 0.9145  8 Ho 3.06-3.41
Te 0.8122 0.8246 0.4145  8 Ho 3.06-3.41

Calculated volume in Å³/f.u.: 144
Energy relative to the elements, uncorrected in eV per atom: -0.5078
Size of the total moment in μB/cell: 0.000
N(E_F) in states/eV/f.u.: 4.91
Calculated total energy in Ha/atom: -0.1601

=====

> Which of these has the highest calculated total energy?

AcTb2Cd3

=====

> Number 4 is which compound?

Li3BeAg3F8

=====

> The highest N(E_F) belongs to which entry?

Pr2NdDy7

=====

> What is the formula in the third record?

AcTb2Cd3